# 1
The following is a GGA-PBE calculation of an optimized crystal structure of ReMo2P, from Alexandria.

Lattice parameters (Å, degrees): 8.461 8.461 8.461 19.58 19.58 19.58
Fractional positions:
Mo  0.999  0.999  0.999
Mo  0.758  0.758  0.758
Re  0.242  0.242  0.242
P  0.501  0.501  0.501

Values from the calculation:
As for the total energy: -9.75 eV/atom. The total magnetization is 0.00 Bohr magnetons per cell. As for the formation energy: 0.1256 eV per atom.



# 2
The following is a GGA-PBE calculation of an optimized crystal structure of ReMoP3, from Alexandria.

Lattice parameters (Å, degrees): 4.619 4.619 4.619 90.00 90.00 90.00
Site moments in Bohr magnetons follow the coordinates.
Fractional positions:
Re  0.000  0.000  0.000  0.35
P  0.500  0.000  0.000  -0.09
P  0.000  0.000  0.500  -0.16
P  0.000  0.500  0.000  -0.18
Mo  0.500  0.500  0.500  3.13

Values from the calculation:
As for the total energy: -6.82 eV/atom. The total magnetization is 3.32 Bohr magnetons per cell. As for the offset from the most stable computed form: 0.0 meV per atom. As for the formation energy: 1.0803 eV per atom.